Computed, not measured: K2CeCrO4 after structural relaxation at the PBE+U level of DFT.

Cell: 5.6679 3.6178 6.4499 Å, 90.00 106.23 90.00°
Last column: nearest neighbours and their distance in Å.
Element x y z (fractional)
K  0.0000  0.0000  0.0000  6 O 2.77-2.78
K  0.5000  0.5000  0.0000  6 O 2.71-2.83
Ce  0.0000  0.5000  0.5000  6 O 2.16-2.37
Cr  0.5000  0.0000  0.5000  2 O 2.11
O  0.2415  0.0000  0.6801  1 Cr 2.11
O  0.2553  0.5000  0.3063  1 Ce 2.16, 2 Cr 2.41
O  0.7447  0.5000  0.6937  1 Ce 2.16, 2 Cr 2.41
O  0.7585  0.0000  0.3199  1 Cr 2.11

Properties
- Energy: -52.82 eV for the cell shown
- Crystal system: monoclinic